The following is a GGA+U calculation of a relaxed NaSmMoO5 crystal, from Alexandria via LeMat-Bulk.

abc: 6.2586 6.2586 8.1608
angles: 102.62 102.62 108.13
Last column: nearest neighbours and their distance in Å.
Sites, in units of the cell vectors:
1 Na 0.1964 0.8036 0.7500  1 O 2.21
2 Na 0.8036 0.1964 0.2500  1 O 2.21
3 Sm 0.5000 0.5000 0.0000  6 O 2.22-2.45
4 Sm 0.5000 0.5000 0.5000  6 O 2.22-2.45
5 Mo 0.1841 0.8159 0.2500  4 O 1.80-1.81
6 Mo 0.8159 0.1841 0.7500  4 O 1.80-1.81
7 O 0.0878 0.2490 0.9163  1 Mo 1.80
8 O 0.1652 0.5848 0.3519  1 Mo 1.81
9 O 0.2490 0.0878 0.4163  1 Mo 1.80
10 O 0.4144 0.5856 0.7500  1 Na 2.21, 2 Sm 2.22
11 O 0.4152 0.8348 0.1481  1 Mo 1.81
12 O 0.5848 0.1652 0.8519  1 Mo 1.81
13 O 0.5856 0.4144 0.2500  1 Na 2.21, 2 Sm 2.22
14 O 0.7510 0.9122 0.5837  1 Mo 1.80
15 O 0.8348 0.4152 0.6481  1 Mo 1.81
16 O 0.9122 0.7510 0.0837  1 Mo 1.80

Summary:
VASP energy   -6.94 eV/atom
Symmetry   No. 15
V   282 Å³ per cell